Material: TaCuPd2W
Method: DFT, PBE
State: optimized geometry

Lattice parameters (Å, degrees): 4.7142 4.5642 4.7142 90.00 90.00 90.00
Closest atoms and distances in Å follow each position.
Fractional coordinates of all 5 atoms:
Cu: 0.0000 0.5000 0.0000  2 W 2.28
Pd: 0.5000 0.0000 0.0000  2 W 2.36
Pd: 0.0000 0.0000 0.5000  2 W 2.36
W: 0.0000 0.0000 0.0000  2 Cu 2.28, 4 Pd 2.36
Ta: 0.5000 0.5000 0.5000  8 Pd 3.28, 4 Cu 3.33

Results
M_tot	0.00	μB/f.u.
total energy	-31.19	eV for the cell shown